Record 1
# TaIn2Ni PBEsol optimized geometry
data_TaIn2Ni
_cell_length_a 6.534
_cell_length_b 6.534
_cell_length_c 6.534
_cell_angle_alpha 90.00
_cell_angle_beta 90.00
_cell_angle_gamma 90.00
_symmetry_space_group_name_H-M 'F m -3 m'
_symmetry_Int_Tables_number 225
_symmetry_space_group_name_Hall '-F 4 2 3'
loop_
_atom_site_label
_atom_site_fract_x
_atom_site_fract_y
_atom_site_fract_z
_atom_site_occupancy
Ta1 0.000 0.000 0.000 1
In1 0.250 0.250 0.250 1
Ni1 0.000 0.000 0.500 1
# Magnetic moment (μB per formula unit): 0.047
# Fermi-level density of states (states/eV per atom): 1.058
# Energy of formation from the pure elements (eV/atom): 0.392

=====

Record 2
# TaIn2Ni PBEsol optimized geometry
data_TaIn2Ni
_cell_length_a 4.127
_cell_length_b 4.127
_cell_length_c 4.013
_cell_angle_alpha 90.00
_cell_angle_beta 90.00
_cell_angle_gamma 90.00
_symmetry_space_group_name_H-M 'P 4/m m m'
_symmetry_Int_Tables_number 123
_symmetry_space_group_name_Hall '-P 4 2'
loop_
_atom_site_label
_atom_site_fract_x
_atom_site_fract_y
_atom_site_fract_z
_atom_site_occupancy
Ta1 0.000 0.000 0.000 1
In1 0.000 0.500 0.500 1
Ni1 0.500 0.500 0.000 1
# Magnetic moment (μB per formula unit): 0.001
# Fermi-level density of states (states/eV per atom): 0.654
# Energy of formation from the pure elements (eV/atom): 0.129